A relaxed structure of Be2HS, computed with PBE-GGA.

## Properties
Calculated volume in Å³ per cell: 86
E above lowest polymorph in meV/atom: 148
Final energy in eV per atom: -3.951
M_tot in μB per formula unit: 0.0
Crystal system: triclinic

Cell: 3.618 5.263 5.338 Å, 103.06 109.37 107.16°
Space group P1 (No. 1)
Asymmetric unit:
Be1 0.000 0.000 0.000 (multiplicity 1)
Be2 0.007 0.172 0.566 (multiplicity 1)
Be3 0.839 0.523 0.777 (multiplicity 1)
Be4 0.923 0.512 0.403 (multiplicity 1)
H1 0.132 0.102 0.331 (multiplicity 1)
H2 0.149 0.765 0.024 (multiplicity 1)
S1 0.577 0.252 0.972 (multiplicity 1)
S2 0.596 0.752 0.520 (multiplicity 1)